SrMn3F | PBE+U | optimized geometry

Its total magnetization is 14.11 μB/f.u. The raw total energy is -18.9 eV/cell. The energy above the most stable polymorph in this dataset comes out at 688.0 kJ/mol of formula units. The value obtained for the density of states at the Fermi level is 2.052 states/eV per atom.

The structure belongs to space group Pm-3m (No. 221); the cell edges are 5.7286, 5.7286 and 5.7286 Å and the angles 90.00°, 90.00° and 90.00°. The distinct sites, in fractional coordinates, are Sr at (0.0000, 0.0000, 0.0000), Mn at (0.0000, 0.0000, 0.5000) and F at (0.5000, 0.5000, 0.5000).